Entry 1:
GeCN (PBE, optimized geometry); excess energy over the best structure of this formula in the dataset = 0.391 eV per formula unit; VASP energy = -6.74 eV per atom; SG = Pmm2; raw formation energy = 63 kJ/mol of atoms; calculated density = 4.3 g cm⁻³
1.0
2.9038 0.0000 0.0000
0.0000 3.2513 0.0000
0.0000 0.0000 4.0085
Ge C N
1 1 1
direct
0.0000 0.0000 0.0000
0.0000 0.5000 0.3353
0.0000 0.5000 0.6425

Entry 2:
Ca2TbHfSb4 (PBE, optimized geometry); VASP energy = -5.23 eV per atom; SG = P2/m; raw formation energy = -81 kJ/mol of atoms; calculated density = 6.3 g cm⁻³
1.0
7.5018 0.0000 0.0000
0.0000 4.3010 0.0000
-2.4629 0.0000 7.3999
Ca Tb Hf Sb
2 1 1 4
direct
0.0000 0.0000 0.0000
0.5000 0.5000 0.0000
0.0000 0.5000 0.5000
0.5000 0.0000 0.5000
0.2581 0.0000 0.7341
0.2703 0.5000 0.2733
0.7297 0.5000 0.7267
0.7419 0.0000 0.2659

Entry 3:
Sm3Dy4Cd (PBE, optimized geometry); E_form = -0.5 eV per formula unit; excess energy over the best structure of this formula in the dataset = 0.000 eV per formula unit; VASP energy = -4.25 eV per atom; SG = P4/mmm; calculated density = 8.1 g cm⁻³
1.0
3.5916 0.0000 0.0000
0.0000 3.5916 0.0000
0.0000 0.0000 19.2546
Sm Dy Cd
3 4 1
direct
0.0000 0.0000 0.0000
0.0000 0.0000 0.2632
0.0000 0.0000 0.7368
0.5000 0.5000 0.1316
0.5000 0.5000 0.3935
0.5000 0.5000 0.6065
0.5000 0.5000 0.8684
0.0000 0.0000 0.5000

Entry 4:
Pm2Sm15Tm2 (PBE, optimized geometry); E_form = 5.5 eV per formula unit; VASP energy = -4.41 eV per atom; SG = R-3m; calculated density = 7.3 g cm⁻³
1.0
5.5691 3.2153 6.0896
-5.5691 3.2153 6.0896
0.0000 -6.4306 6.0896
Pm Sm Tm
2 15 2
direct
0.0910 0.0910 0.0910
0.9090 0.9090 0.9090
0.0000 0.0000 0.5000
0.0000 0.2996 0.7004
0.0000 0.5000 0.0000
0.0000 0.7004 0.2996
0.1563 0.6178 0.6178
0.2996 0.0000 0.7004
0.2996 0.7004 0.0000
0.3822 0.3822 0.8437
0.3822 0.8437 0.3822
0.5000 0.0000 0.0000
0.6178 0.1563 0.6178
0.6178 0.6178 0.1563
0.7004 0.0000 0.2996
0.7004 0.2996 0.0000
0.8437 0.3822 0.3822
0.3141 0.3141 0.3141
0.6859 0.6859 0.6859

Entry 5:
Li6Gd (PBE, optimized geometry); E_form = 2.6 eV per formula unit; VASP energy = -3.29 eV per atom; SG = Im-3m; calculated density = 2.0 g cm⁻³
1.0
-3.4540 3.4540 3.4540
3.4540 -3.4540 3.4540
3.4540 3.4540 -3.4540
Li Gd
6 1
direct
0.2500 0.5000 0.7500
0.2500 0.7500 0.5000
0.5000 0.2500 0.7500
0.5000 0.7500 0.2500
0.7500 0.2500 0.5000
0.7500 0.5000 0.2500
0.0000 0.0000 0.0000

Entry 6:
Ba8Sn2Pb (PBE, optimized geometry); E_form = -4.5 eV per formula unit; VASP energy = -2.87 eV per atom; SG = C2/m; calculated density = 4.9 g cm⁻³
1.0
10.9736 -2.9540 0.0000
10.9736 2.9540 0.0000
-2.3681 0.0000 8.0576
Ba Sn Pb
8 2 1
direct
0.0317 0.0317 0.2858
0.2079 0.2079 0.8131
0.3360 0.3360 0.5441
0.4060 0.4060 0.0582
0.5940 0.5940 0.9418
0.6640 0.6640 0.4559
0.7921 0.7921 0.1869
0.9683 0.9683 0.7142
0.1886 0.1886 0.2148
0.8114 0.8114 0.7852
0.5000 0.5000 0.5000

Entry 7:
Hf7Si2C2 (PBE, optimized geometry); VASP energy = -9.39 eV per atom; SG = Imm2; raw formation energy = -38 kJ/mol of atoms; calculated density = 11.6 g cm⁻³
1.0
-1.5973 6.9562 4.2779
1.5973 -6.9562 4.2779
1.5973 6.9562 -4.2779
Hf Si C
7 2 2
direct
0.0000 0.0000 0.0000
0.0685 0.3856 0.6829
0.0706 0.7264 0.3441
0.3823 0.7264 0.6559
0.4491 0.5799 0.8693
0.7026 0.3856 0.3171
0.7106 0.5799 0.1307
0.3280 0.3280 0.0000
0.7358 0.2358 0.5000
0.3683 0.1145 0.2538
0.8607 0.1145 0.7462

Entry 8:
HfCu2Hg2 (PBE, optimized geometry); E_form = 0.8 eV per formula unit; excess energy over the best structure of this formula in the dataset = 0.000 eV per formula unit; VASP energy = -3.60 eV per atom; SG = P4/mbm; calculated density = 13.3 g cm⁻³
1.0
7.5401 0.0000 0.0000
0.0000 7.5401 0.0000
0.0000 0.0000 3.1014
Hf Cu Hg
2 4 4
direct
0.0000 0.0000 0.0000
0.5000 0.5000 0.0000
0.1201 0.3799 0.0000
0.3799 0.8799 0.0000
0.6201 0.1201 0.0000
0.8799 0.6201 0.0000
0.1772 0.6772 0.5000
0.3228 0.1772 0.5000
0.6772 0.8228 0.5000
0.8228 0.3228 0.5000

Repeat the first record exactly.
GeCN (PBE, optimized geometry); excess energy over the best structure of this formula in the dataset = 0.391 eV per formula unit; VASP energy = -6.74 eV per atom; SG = Pmm2; raw formation energy = 63 kJ/mol of atoms; calculated density = 4.3 g cm⁻³
1.0
2.9038 0.0000 0.0000
0.0000 3.2513 0.0000
0.0000 0.0000 4.0085
Ge C N
1 1 1
direct
0.0000 0.0000 0.0000
0.0000 0.5000 0.3353
0.0000 0.5000 0.6425